VASP calculation (PBE) on a geometry-optimized GaBi2Pt structure.

Summary:
ΔH_f (0 K), eV per formula unit: 0.34
Fermi-level density of states, states/eV/cell: 4.2

abc: 8.1803 8.1803 8.1803
angles: 136.30 136.30 63.52
Last column: nearest neighbours and their distance in Å.
Fractional coordinates of all 8 atoms:
Ga: 0.0000 0.0000 0.0000  4 Bi 2.85
Ga: 0.7500 0.2500 0.5000  4 Bi 2.85
Bi: 0.1490 0.6250 0.0240  2 Pt 2.69, 2 Ga 2.85
Bi: 0.3750 0.3990 0.5240  2 Pt 2.69, 2 Ga 2.85
Bi: 0.6010 0.1250 0.9760  2 Pt 2.69, 2 Ga 2.85
Bi: 0.8750 0.8510 0.4760  2 Pt 2.69, 2 Ga 2.85
Pt: 0.2500 0.7500 0.5000  4 Bi 2.69
Pt: 0.5000 0.5000 0.0000  4 Bi 2.69